Computed, not measured: a geometry-optimized Nd5Tm4Hg structure at the PBE level of DFT.

Cell: 3.637 3.637 24.053 Å, 90.00 90.00 90.00°
Element x y z (fractional)
Tm 0.000 0.000 0.808
Nd 0.500 0.500 0.705
Nd 0.500 0.500 0.913
Tm 0.000 0.000 0.192
Nd 0.500 0.500 0.087
Tm 0.000 0.000 0.603
Tm 0.000 0.000 0.397
Hg 0.000 0.000 0.000
Nd 0.500 0.500 0.500
Nd 0.500 0.500 0.295

- magnetic moment (Bohr magnetons per cell) = 0.000
- space-group type = P4/mmm
- VASP energy (Ry per atom) = -0.3138
- formation energy (eV per atom) = -0.0671